Computed, not measured: a geometry-optimized ScBe4Mo structure at the PBE level of DFT.

The density of states at the Fermi level is 0.89 states/eV per atom. The formation energy comes out at -0.5 eV/f.u. The calculation puts the calculated volume at 69.4 Å³ per cell.

a = 4.6125 Å, b = 4.6125 Å, c = 4.6125 Å
α = 60.00°, β = 60.00°, γ = 60.00°
With the nearest neighbours (Å) after each atom.
Atoms (fractional coordinates):
Be1 0.3778 0.8665 0.3778  6 Be 2.25-2.36
Sc1 0.0000 0.0000 0.0000  12 Be 2.71, 4 Mo 2.82
Be2 0.3778 0.3778 0.8665  6 Be 2.25-2.36
Be3 0.3778 0.3778 0.3778  6 Be 2.25-2.36
Be4 0.8665 0.3778 0.3778  6 Be 2.25-2.36
Mo1 0.7500 0.7500 0.7500  12 Be 2.70, 4 Sc 2.82